VASP calculation (GGA-PBE) on a geometry-optimized Sr3Y2B4O12 structure.

a = 7.537 Å, b = 15.819 Å, c = 8.734 Å
α = 90.00°, β = 90.00°, γ = 90.00°
Space group Pnma (No. 62)
One atom of each set of equivalent atoms:
Sr 0.175 0.124 0.154 [8 per cell]
Sr 0.177 0.750 0.028 [4 per cell]
Y 0.010 0.083 0.672 [8 per cell]
B 0.023 0.750 0.605 [4 per cell]
B 0.165 0.538 0.946 [8 per cell]
B 0.218 0.250 0.852 [4 per cell]
O 0.029 0.174 0.462 [8 per cell]
O 0.079 0.588 0.052 [8 per cell]
O 0.105 0.536 0.794 [8 per cell]
O 0.107 0.750 0.746 [4 per cell]
O 0.146 0.250 0.994 [4 per cell]
O 0.180 0.505 0.482 [8 per cell]
O 0.249 0.673 0.277 [8 per cell]

Summary:
* uncorrected energy: -7.90 eV/atom
* formation energy from raw total energies: -2944 meV/atom
* DOS(E_F): 0.00 states/eV/atom